1.
Compound: MgReSb2
Source: Alexandria
Functional: PBEsol
Structure: optimized geometry

- energy (eV per cell) = -23.47
- V (Å³/cell) = 82
- DOS at the Fermi energy (states/eV/cell) = 2.15
- crystal system = tetragonal
- space-group type = P4/mmm
- mass density (g/cm³) = 9.2
- formation energy from raw total energies (eV per atom) = 0.173

abc: 3.2416 3.2416 7.7731
angles: 90.00 90.00 90.00
Sites, in units of the cell vectors:
Mg  0.0000  0.0000  0.0000
Re  0.0000  0.0000  0.5000
Sb  0.5000  0.5000  0.2890
Sb  0.5000  0.5000  0.7110


2.
Compound: KY2Mg
Source: Alexandria
Functional: PBEsol
Structure: optimized geometry

- energy (eV per cell) = -30.61
- V (Å³/cell) = 265
- DOS at the Fermi energy (states/eV/cell) = 11.96
- crystal system = orthorhombic
- space-group type = Cmmm
- mass density (g/cm³) = 3.0

abc: 3.8980 5.5052 12.3494
angles: 90.00 90.00 90.00
Sites, in units of the cell vectors:
K  0.0000  0.0000  0.0000
K  0.5000  0.5000  0.0000
Y  0.0000  0.5000  0.2888
Y  0.0000  0.5000  0.7112
Y  0.5000  0.0000  0.2888
Y  0.5000  0.0000  0.7112
Mg  0.0000  0.0000  0.5000
Mg  0.5000  0.5000  0.5000


3.
Compound: AlZn2In
Source: Alexandria
Functional: PBEsol
Structure: optimized geometry

- energy (eV per cell) = -9.64
- energy above the most stable polymorph in this dataset (eV/atom) = 0.019
- V (Å³/cell) = 72
- DOS at the Fermi energy (states/eV/cell) = 1.46
- crystal system = tetragonal
- space-group type = P4mm
- mass density (g/cm³) = 6.3

abc: 3.2804 3.2804 6.6496
angles: 90.00 90.00 90.00
Sites, in units of the cell vectors:
Al  0.0000  0.0000  0.0000
Zn  0.0000  0.0000  0.5820
Zn  0.5000  0.5000  0.7829
In  0.5000  0.5000  0.2994


4.
Compound: AlTl2F
Source: Alexandria
Functional: PBEsol
Structure: optimized geometry

- energy (eV per cell) = -50.65
- V (Å³/cell) = 409
- DOS at the Fermi energy (states/eV/cell) = 8.85
- crystal system = tetragonal
- space-group type = I-42d
- mass density (g/cm³) = 7.4
- formation energy from raw total energies (eV per atom) = -0.346

abc: 5.2224 5.2224 15.0065
angles: 90.00 90.00 90.00
Sites, in units of the cell vectors:
Al  0.0000  0.0000  0.0000
Al  0.0000  0.5000  0.2500
Al  0.5000  0.0000  0.7500
Al  0.5000  0.5000  0.5000
Tl  0.1960  0.2500  0.6250
Tl  0.2500  0.6960  0.8750
Tl  0.2500  0.8040  0.3750
Tl  0.3040  0.2500  0.1250
Tl  0.6960  0.7500  0.1250
Tl  0.7500  0.1960  0.3750
Tl  0.7500  0.3040  0.8750
Tl  0.8040  0.7500  0.6250
F  0.0000  0.0000  0.5000
F  0.0000  0.5000  0.7500
F  0.5000  0.0000  0.2500
F  0.5000  0.5000  0.0000


5.
Compound: AsP2RhS
Source: Alexandria
Functional: PBEsol
Structure: optimized geometry

- energy (eV per cell) = -26.09
- V (Å³/cell) = 94
- DOS at the Fermi energy (states/eV/cell) = 4.00
- crystal system = tetragonal
- space-group type = P4/mmm
- mass density (g/cm³) = 4.8
- formation energy from raw total energies (eV per atom) = 0.625

abc: 4.4193 4.4193 4.8169
angles: 90.00 90.00 90.00
Sites, in units of the cell vectors:
As  0.0000  0.0000  0.0000
P  0.0000  0.5000  0.5000
P  0.5000  0.0000  0.5000
Rh  0.5000  0.5000  0.5000
S  0.5000  0.5000  0.0000


6.
Compound: Mg2TlMo
Source: Alexandria
Functional: PBEsol
Structure: optimized geometry

- energy (eV per cell) = -16.23
- energy above the most stable polymorph in this dataset (eV/atom) = 0.005
- V (Å³/cell) = 80
- DOS at the Fermi energy (states/eV/cell) = 2.19
- crystal system = tetragonal
- space-group type = P4mm
- mass density (g/cm³) = 7.3

abc: 2.9204 2.9204 9.3307
angles: 90.00 90.00 90.00
Sites, in units of the cell vectors:
Mg  0.0000  0.0000  0.0000
Mg  0.5000  0.5000  0.2670
Tl  0.5000  0.5000  0.7302
Mo  0.0000  0.0000  0.4891